[1]
The following is a DFT calculation (PBE) of crystalline Th2Be3SiIr4 at its relaxed geometry.

The value obtained for the volume is 163 Å³ per cell. Its mass density is 13.143 g/cm³. As for the formation energy from raw total energies: -76.2 kJ per mole of atoms. The calculation puts the total energy at -7.478 eV/atom.

The space group is P-4m2 (No. 115) and the conventional cell measures 4.122, 4.122 and 9.578 Å, with angles of 90.00, 90.00 and 90.00 degrees. The asymmetric unit holds Th at (0.000, 0.500, 0.237), Be at (0.000, 0.500, 0.886), Be at (0.500, 0.500, 0.500), Si at (0.000, 0.000, 0.500), Ir at (0.000, 0.000, 0.000), Ir at (0.000, 0.500, 0.631) and Ir at (0.500, 0.500, 0.000).

=====

[2]
The following is a DFT calculation (PBE) of crystalline Th2BeSi4Ir3 at its relaxed geometry.

The value obtained for the volume is 173 Å³ per cell. Its mass density is 11.151 g/cm³. As for the formation energy from raw total energies: -88.5 kJ per mole of atoms. The calculation puts the total energy at -7.601 eV/atom.

The space group is P-4m2 (No. 115) and the conventional cell measures 4.170, 4.170 and 9.952 Å, with angles of 90.00, 90.00 and 90.00 degrees. The asymmetric unit holds Th at (0.000, 0.500, 0.250), Be at (0.000, 0.000, 0.500), Si at (0.000, 0.000, 0.000), Si at (0.000, 0.500, 0.630), Si at (0.500, 0.500, 0.000), Ir at (0.000, 0.500, 0.874) and Ir at (0.500, 0.500, 0.500).

=====

[3]
The following is a DFT calculation (PBE) of crystalline Th2BeSi3Ir4 at its relaxed geometry.

The value obtained for the volume is 172 Å³ per cell. Its mass density is 12.815 g/cm³. As for the formation energy from raw total energies: -97.0 kJ per mole of atoms. The calculation puts the total energy at -8.034 eV/atom.

The space group is P-4m2 (No. 115) and the conventional cell measures 4.160, 4.160 and 9.931 Å, with angles of 90.00, 90.00 and 90.00 degrees. The asymmetric unit holds Th at (0.000, 0.500, 0.239), Be at (0.500, 0.500, 0.000), Si at (0.000, 0.000, 0.000), Si at (0.000, 0.500, 0.632), Ir at (0.000, 0.000, 0.500), Ir at (0.000, 0.500, 0.874) and Ir at (0.500, 0.500, 0.500).

=====

[4]
The following is a DFT calculation (PBE) of crystalline ThBe2SiIr at its relaxed geometry.

The value obtained for the volume is 158 Å³ per cell. Its mass density is 9.870 g/cm³. As for the formation energy from raw total energies: -53.2 kJ per mole of atoms. The calculation puts the total energy at -6.382 eV/atom.

The space group is Imm2 (No. 44) and the conventional cell measures 3.935, 4.007 and 10.037 Å, with angles of 90.00, 90.00 and 90.00 degrees. The asymmetric unit holds Th at (0.000, 0.000, 0.000), Be at (0.000, 0.000, 0.377), Be at (0.000, 0.500, 0.252), Si at (0.000, 0.000, 0.626) and Ir at (0.000, 0.500, 0.762).

=====

[5]
The following is a DFT calculation (PBE) of crystalline ThBeSi2Ir at its relaxed geometry.

The value obtained for the volume is 167 Å³ per cell. Its mass density is 9.754 g/cm³. As for the formation energy from raw total energies: -73.0 kJ per mole of atoms. The calculation puts the total energy at -6.927 eV/atom.

The space group is I-4m2 (No. 119) and the conventional cell measures 4.041, 4.041 and 10.207 Å, with angles of 90.00, 90.00 and 90.00 degrees. The asymmetric unit holds Th at (0.000, 0.000, 0.000), Be at (0.000, 0.500, 0.250), Si at (0.000, 0.000, 0.378) and Ir at (0.000, 0.500, 0.750).

=====

[6]
The following is a DFT calculation (PBE) of crystalline Tm2BeSi2Ir5 at its relaxed geometry.

The value obtained for the volume is 312 Å³ per cell. Its mass density is 14.502 g/cm³. As for the formation energy from raw total energies: -76.2 kJ per mole of atoms. The calculation puts the total energy at -7.571 eV/atom.

The space group is P4/mbm (No. 127) and the conventional cell measures 9.592, 9.592 and 3.396 Å, with angles of 90.00, 90.00 and 90.00 degrees. The asymmetric unit holds Tm at (0.173, 0.327, 0.000), Be at (0.000, 0.000, 0.000), Si at (0.128, 0.628, 0.000), Ir at (0.000, 0.500, 0.500) and Ir at (0.066, 0.797, 0.500).

=====

[7]
The following is a DFT calculation (PBE) of crystalline Tm2BeSi3Ir4 at its relaxed geometry.

The value obtained for the volume is 162 Å³ per cell. Its mass density is 12.278 g/cm³. As for the formation energy from raw total energies: -94.3 kJ per mole of atoms. The calculation puts the total energy at -7.416 eV/atom.

The space group is P-4m2 (No. 115) and the conventional cell measures 4.078, 4.078 and 9.761 Å, with angles of 90.00, 90.00 and 90.00 degrees. The asymmetric unit holds Tm at (0.000, 0.500, 0.244), Be at (0.500, 0.500, 0.000), Si at (0.000, 0.000, 0.000), Si at (0.000, 0.500, 0.634), Ir at (0.000, 0.000, 0.500), Ir at (0.000, 0.500, 0.875) and Ir at (0.500, 0.500, 0.500).

=====

[8]
The following is a DFT calculation (PBE) of crystalline Tm2Be4Si3Ir at its relaxed geometry.

The value obtained for the volume is 140 Å³ per cell. Its mass density is 7.700 g/cm³. As for the formation energy from raw total energies: -52.0 kJ per mole of atoms. The calculation puts the total energy at -5.437 eV/atom.

The space group is P-4m2 (No. 115) and the conventional cell measures 3.765, 3.765 and 9.893 Å, with angles of 90.00, 90.00 and 90.00 degrees. The asymmetric unit holds Tm at (0.000, 0.500, 0.246), Be at (0.000, 0.000, 0.000), Be at (0.000, 0.500, 0.638), Be at (0.500, 0.500, 0.000), Si at (0.000, 0.500, 0.866), Si at (0.500, 0.500, 0.500) and Ir at (0.000, 0.000, 0.500).

=====

[9]
The following is a DFT calculation (PBE) of crystalline TmBeSi2Ir at its relaxed geometry.

The value obtained for the volume is 153 Å³ per cell. Its mass density is 9.232 g/cm³. As for the formation energy from raw total energies: -72.8 kJ per mole of atoms. The calculation puts the total energy at -6.336 eV/atom.

The space group is I-4m2 (No. 119) and the conventional cell measures 3.856, 3.856 and 10.316 Å, with angles of 90.00, 90.00 and 90.00 degrees. The asymmetric unit holds Tm at (0.000, 0.000, 0.000), Be at (0.000, 0.500, 0.750), Si at (0.000, 0.000, 0.385) and Ir at (0.000, 0.500, 0.250).

=====

[10]
The following is a DFT calculation (PBE) of crystalline UBeSi2Ir4 at its relaxed geometry.

The value obtained for the volume is 355 Å³ per cell. Its mass density is 15.037 g/cm³. As for the formation energy from raw total energies: -65.6 kJ per mole of atoms. The calculation puts the total energy at -8.343 eV/atom.

The space group is R-3m (No. 166, hexagonal axes) and the conventional cell measures 4.0941, 4.0941 and 24.4676 Å, with angles of 90.00, 90.00 and 120.00 degrees. The asymmetric unit holds U at (0.0000, 0.0000, 0.0000), Be at (0.0000, 0.0000, 0.5000), Si at (0.0000, 0.0000, 0.2394), Ir at (0.0000, 0.0000, 0.1350) and Ir at (0.0000, 0.0000, 0.4015).

=====

[11]
The following is a DFT calculation (PBE) of crystalline U2Be3Si4Ir at its relaxed geometry.

The value obtained for the volume is 147 Å³ per cell. Its mass density is 9.127 g/cm³. As for the formation energy from raw total energies: -33.9 kJ per mole of atoms. The calculation puts the total energy at -6.783 eV/atom.

The space group is P-4m2 (No. 115) and the conventional cell measures 3.922, 3.922 and 9.554 Å, with angles of 90.00, 90.00 and 90.00 degrees. The asymmetric unit holds U at (0.000, 0.500, 0.241), Be at (0.000, 0.500, 0.874), Be at (0.500, 0.500, 0.500), Si at (0.000, 0.000, 0.000), Si at (0.000, 0.500, 0.644), Si at (0.500, 0.500, 0.000) and Ir at (0.000, 0.000, 0.500).

=====

[12]
The following is a DFT calculation (PBE) of crystalline U2Be4Si3Ir at its relaxed geometry.

The value obtained for the volume is 142 Å³ per cell. Its mass density is 9.233 g/cm³. As for the formation energy from raw total energies: -30.0 kJ per mole of atoms. The calculation puts the total energy at -6.572 eV/atom.

The space group is P-4m2 (No. 115) and the conventional cell measures 3.848, 3.848 and 9.580 Å, with angles of 90.00, 90.00 and 90.00 degrees. The asymmetric unit holds U at (0.000, 0.500, 0.248), Be at (0.000, 0.000, 0.000), Be at (0.000, 0.500, 0.635), Be at (0.500, 0.500, 0.000), Si at (0.000, 0.500, 0.868), Si at (0.500, 0.500, 0.500) and Ir at (0.000, 0.000, 0.500).